Here is a PBEsol-optimized structure of RbNb4Br11 from the Alexandria database. Energies are from SCAN.

```
32
Lattice="16.7533 0.0000 0.0000 0.0000 7.2395 0.0000 0.0000 0.0000 6.9927" Properties=species:S:1:pos:R:3 pbc="T T T"
Rb 4.1883 0.0000 0.2172
Rb 12.5650 0.0000 6.7755
Nb 0.0000 2.0998 3.4963
Nb 0.0000 5.1396 3.4963
Nb 2.3453 3.6197 2.6445
Nb 6.0314 3.6197 2.6445
Nb 8.3767 2.0998 3.4963
Nb 8.3767 5.1396 3.4963
Nb 10.7219 3.6197 4.3481
Nb 14.4080 3.6197 4.3481
Br 1.3072 1.7650 1.2417
Br 1.3072 5.4745 1.2417
Br 1.4438 0.0000 4.4466
Br 1.4514 3.6197 5.0386
Br 4.1883 1.8925 3.6027
Br 4.1883 3.6197 0.5989
Br 4.1883 5.3469 3.6027
Br 6.9253 3.6197 5.0386
Br 6.9329 0.0000 4.4466
Br 7.0694 1.7650 1.2417
Br 7.0694 5.4745 1.2417
Br 9.6839 1.7650 5.7509
Br 9.6839 5.4745 5.7509
Br 9.8204 0.0000 2.5461
Br 9.8280 3.6197 1.9541
Br 12.5650 1.8925 3.3899
Br 12.5650 3.6197 6.3938
Br 12.5650 5.3469 3.3899
Br 15.3020 3.6197 1.9541
Br 15.3095 0.0000 2.5461
Br 15.4461 1.7650 5.7509
Br 15.4461 5.4745 5.7509
```

Summary:
The calculation puts the uncorrected formation energy at -1136 meV per atom. The total moment comes out at 0.00 Bohr magnetons per cell. The value obtained for the final energy is -24.093 eV per atom.